Material: LiCuRuBr2
Method: DFT, PBE-GGA
State: optimized geometry

Results
Calculated volume (Å³ per cell): 104.4
Total magnetization (μB per cell): 2.6
Raw total energy (eV/atom): -3.02

CIF file:
```
data_LiCuRuBr2
_space_group_name_H-M_alt 'P 4/m m m'
_space_group_IT_number 123
_space_group_name_Hall '-P 4 2'
_cell_length_a 4.731
_cell_length_b 4.731
_cell_length_c 4.663
_cell_angle_alpha 90.00
_cell_angle_beta 90.00
_cell_angle_gamma 90.00
loop_
_atom_site_label
_atom_site_fract_x
_atom_site_fract_y
_atom_site_fract_z
Li1 0.000 0.000 0.000
Cu1 0.000 0.000 0.500
Ru1 0.500 0.500 0.500
Br1 0.000 0.500 0.000
```

Material: Cs2BrCl
Method: DFT, PBE-GGA
State: optimized geometry

Results
Energy above the most stable polymorph in this dataset (meV/atom): 0.4
Calculated volume (Å³ per cell): 755.4
Total magnetization (μB per cell): 0.0
Raw total energy (eV/atom): -3.18

CIF file:
```
data_Cs2BrCl
_space_group_name_H-M_alt 'I 41/a m d'
_space_group_IT_number 141
_cell_length_a 7.228
_cell_length_b 7.228
_cell_length_c 14.461
_cell_angle_alpha 90.00
_cell_angle_beta 90.00
_cell_angle_gamma 90.00
loop_
_space_group_symop_operation_xyz
'x,y,z'
'-x,-y,-z'
'-y+1/4,x+3/4,z+1/4'
'y+1/4,-x+3/4,-z+1/4'
'-x+1/2,-y,z+1/2'
'x+1/2,y,-z+1/2'
'y+1/4,-x+1/4,z+3/4'
'-y+1/4,x+1/4,-z+3/4'
'x,-y,-z'
'-x,y,z'
'-y+1/4,-x+1/4,-z+3/4'
'y+1/4,x+1/4,z+3/4'
'-x+1/2,y,-z+1/2'
'x+1/2,-y,z+1/2'
'y+1/4,x+3/4,-z+1/4'
'-y+1/4,-x+3/4,z+1/4'
'x+1/2,y+1/2,z+1/2'
'-x+1/2,-y+1/2,-z+1/2'
'-y+3/4,x+1/4,z+3/4'
'y+3/4,-x+1/4,-z+3/4'
'-x,-y+1/2,z'
'x,y+1/2,-z'
'y+3/4,-x+3/4,z+1/4'
'-y+3/4,x+3/4,-z+1/4'
'x+1/2,-y+1/2,-z+1/2'
'-x+1/2,y+1/2,z+1/2'
'-y+3/4,-x+3/4,-z+1/4'
'y+3/4,x+3/4,z+1/4'
'-x,y+1/2,-z'
'x,-y+1/2,z'
'y+3/4,x+1/4,-z+3/4'
'-y+3/4,-x+1/4,z+3/4'
loop_
_atom_site_label
_atom_site_fract_x
_atom_site_fract_y
_atom_site_fract_z
Cs1 0.000 0.250 0.116
Br1 0.000 0.250 0.375
Cl1 0.000 0.250 0.875
```

Material: TaReH3
Method: DFT, PBE-GGA
State: optimized geometry

Results
Energy above the most stable polymorph in this dataset (meV/atom): 0.0
Calculated volume (Å³ per cell): 42.6
Total magnetization (μB per cell): 0.0
Raw total energy (eV/atom): -6.42

CIF file:
```
data_TaReH3
_space_group_name_H-M_alt 'P m -3 m'
_space_group_IT_number 221
_space_group_name_Hall '-P 4 2 3'
_cell_length_a 3.493
_cell_length_b 3.493
_cell_length_c 3.493
_cell_angle_alpha 90.00
_cell_angle_beta 90.00
_cell_angle_gamma 90.00
loop_
_atom_site_label
_atom_site_fract_x
_atom_site_fract_y
_atom_site_fract_z
Ta1 0.000 0.000 0.000
Re1 0.500 0.500 0.500
H1 0.000 0.500 0.500
```

Material: MgFeSb2
Method: DFT, PBE-GGA
State: optimized geometry

Results
Energy above the most stable polymorph in this dataset (meV/atom): 422.2
Calculated volume (Å³ per cell): 352.2
Total magnetization (μB per cell): 10.4
Raw total energy (eV/atom): -4.11

CIF file:
```
data_MgFeSb2
_space_group_name_H-M_alt 'F -4 3 m'
_space_group_IT_number 216
_space_group_name_Hall 'F -4 2 3'
_cell_length_a 7.062
_cell_length_b 7.062
_cell_length_c 7.062
_cell_angle_alpha 90.00
_cell_angle_beta 90.00
_cell_angle_gamma 90.00
loop_
_atom_site_label
_atom_site_fract_x
_atom_site_fract_y
_atom_site_fract_z
Mg1 0.000 0.000 0.000
Fe1 0.250 0.250 0.250
Sb1 0.000 0.000 0.500
Sb2 0.250 0.250 0.750
```

Material: BePtAu2
Method: DFT, PBE-GGA
State: optimized geometry

Results
Calculated volume (Å³ per cell): 249.9
Total magnetization (μB per cell): 0.0
Energy of formation (eV per atom): 0.03
Raw total energy (eV/atom): -4.05

CIF file:
```
data_BePtAu2
_space_group_name_H-M_alt 'F -4 3 m'
_space_group_IT_number 216
_space_group_name_Hall 'F -4 2 3'
_cell_length_a 6.299
_cell_length_b 6.299
_cell_length_c 6.299
_cell_angle_alpha 90.00
_cell_angle_beta 90.00
_cell_angle_gamma 90.00
loop_
_atom_site_label
_atom_site_fract_x
_atom_site_fract_y
_atom_site_fract_z
Be1 0.000 0.000 0.000
Pt1 0.250 0.250 0.750
Au1 0.000 0.000 0.500
Au2 0.250 0.250 0.250
```

Material: Sc3BiB
Method: DFT, PBE-GGA
State: optimized geometry

Results
Energy above the most stable polymorph in this dataset (meV/atom): 587.5
Calculated volume (Å³ per cell): 629.6
Total magnetization (μB per cell): 4.6
Energy of formation (eV per atom): 0.02
Raw total energy (eV/atom): -5.89

CIF file:
```
data_Sc3BiB
_space_group_name_H-M_alt 'R -3 c'
_space_group_IT_number 167
_space_group_name_Hall '-R 3 2"c'
_cell_length_a 8.1016
_cell_length_b 8.1016
_cell_length_c 11.0757
_cell_angle_alpha 90.00
_cell_angle_beta 90.00
_cell_angle_gamma 120.00
loop_
_atom_site_label
_atom_site_fract_x
_atom_site_fract_y
_atom_site_fract_z
Sc1 0.0000 0.2869 0.2500
Bi1 0.0000 0.0000 0.0000
B1 0.0000 0.0000 0.2500
```

Material: MgBe2Os2
Method: DFT, PBE-GGA
State: optimized geometry

Results
Energy above the most stable polymorph in this dataset (meV/atom): 0.0
Calculated volume (Å³ per cell): 115.8
Total magnetization (μB per cell): 0.0
Energy of formation (eV per atom): -0.17
Raw total energy (eV/atom): -6.48

CIF file:
```
data_MgBe2Os2
_space_group_name_H-M_alt 'P 4/m b m'
_space_group_IT_number 127
_space_group_name_Hall '-P 4 2ab'
_cell_length_a 6.039
_cell_length_b 6.039
_cell_length_c 3.175
_cell_angle_alpha 90.00
_cell_angle_beta 90.00
_cell_angle_gamma 90.00
loop_
_atom_site_label
_atom_site_fract_x
_atom_site_fract_y
_atom_site_fract_z
Mg1 0.000 0.000 0.000
Be1 0.120 0.380 0.000
Os1 0.172 0.672 0.500
```

Material: Be3BiSb
Method: DFT, PBE-GGA
State: optimized geometry

Results
Energy above the most stable polymorph in this dataset (meV/atom): 234.5
Calculated volume (Å³ per cell): 110.1
Total magnetization (μB per cell): 0.0
Raw total energy (eV/atom): -2.55

CIF file:
```
data_Be3BiSb
_space_group_name_H-M_alt 'P m -3 m'
_space_group_IT_number 221
_space_group_name_Hall '-P 4 2 3'
_cell_length_a 4.793
_cell_length_b 4.793
_cell_length_c 4.793
_cell_angle_alpha 90.00
_cell_angle_beta 90.00
_cell_angle_gamma 90.00
loop_
_atom_site_label
_atom_site_fract_x
_atom_site_fract_y
_atom_site_fract_z
Be1 0.000 0.000 0.500
Bi1 0.000 0.000 0.000
Sb1 0.500 0.500 0.500
```